# 1
# Cs2TlCdPd

A relaxed Cs2TlCdPd crystal (GGA-PBE, Alexandria).

The structure in POSCAR format:
```
Cs2TlCdPd
1.0
6.747 0.000 0.000
0.000 6.747 0.000
0.000 0.000 5.352
Cs Tl Cd Pd
2 1 1 1
Direct
0.000 0.500 0.000
0.500 0.000 0.000
0.000 0.000 0.500
0.500 0.500 0.500
0.000 0.000 0.000
```

DOS at the Fermi energy ... 3.21 states/eV/f.u.
V ... 243.6 Å³ per cell
Magnetic moment ... 0.00 μB/f.u.
Energy relative to the elements ... 21 meV per atom

=====

# 2
# CsZnCd2Pd

A relaxed CsZnCd2Pd crystal (GGA-PBE, Alexandria).

The structure in POSCAR format:
```
CsZnCd2Pd
1.0
5.407 0.000 0.000
0.000 5.407 0.000
0.000 0.000 5.100
Cs Zn Cd Pd
1 1 2 1
Direct
0.000 0.000 0.000
0.500 0.500 0.000
0.000 0.500 0.500
0.500 0.000 0.500
0.500 0.500 0.500
```

DOS at the Fermi energy ... 2.04 states/eV/f.u.
V ... 149.1 Å³ per cell
Magnetic moment ... 0.00 μB/f.u.
Energy relative to the elements ... -154 meV per atom

=====

# 3
# CsPmCd

A relaxed CsPmCd crystal (GGA-PBE, Alexandria).

The structure in POSCAR format:
```
CsPmCd
1.0
18.443 0.000 0.000
0.000 2.022 3.499
0.000 -2.022 3.499
Cs Pm Cd
2 2 2
Direct
0.169 0.000 0.000
0.831 0.000 0.000
0.380 0.332 0.332
0.620 0.332 0.332
0.000 0.334 0.334
0.500 0.998 0.998
```

DOS at the Fermi energy ... 3.50 states/eV/f.u.
V ... 260.9 Å³ per cell
Magnetic moment ... 0.00 μB/f.u.
Energy relative to the elements ... 256 meV per atom

=====

# 4
# CsPmCd2

A relaxed CsPmCd2 crystal (GGA-PBE, Alexandria).

The structure in POSCAR format:
```
CsPmCd2
1.0
3.956 0.000 0.000
0.000 3.956 0.000
0.000 0.000 9.204
Cs Pm Cd
1 1 2
Direct
0.000 0.000 0.000
0.000 0.000 0.500
0.500 0.500 0.313
0.500 0.500 0.687
```

DOS at the Fermi energy ... 4.40 states/eV/f.u.
V ... 144.1 Å³ per cell
Magnetic moment ... 0.42 μB/f.u.
Energy relative to the elements ... -79 meV per atom

=====

# 5
# Cs3Pm2CdS6

A relaxed Cs3Pm2CdS6 crystal (GGA-PBE, Alexandria).

The structure in POSCAR format:
```
Cs3Pm2CdS6
1.0
3.625 -6.270 0.000
3.625 6.270 0.000
-2.405 0.000 8.066
Cs Pm Cd S
3 2 1 6
Direct
0.000 0.000 0.000
0.335 0.665 0.000
0.665 0.335 0.000
0.167 0.833 0.500
0.833 0.167 0.500
0.500 0.500 0.500
0.107 0.438 0.314
0.230 0.230 0.686
0.438 0.107 0.314
0.562 0.893 0.686
0.770 0.770 0.314
0.893 0.562 0.686
```

DOS at the Fermi energy ... 15.57 states/eV/f.u.
V ... 366.7 Å³ per cell
Magnetic moment ... 0.63 μB/f.u.
ΔE_f (raw) ... -1341 meV per atom

=====

# 6
# CsPmCdS3

A relaxed CsPmCdS3 crystal (GGA-PBE, Alexandria).

The structure in POSCAR format:
```
CsPmCdS3
1.0
9.365 0.000 0.000
0.000 4.250 0.000
-3.421 0.000 9.708
Cs Pm Cd S
2 2 2 6
Direct
0.215 0.250 0.237
0.785 0.750 0.763
0.332 0.750 0.865
0.668 0.250 0.135
0.086 0.250 0.614
0.914 0.750 0.386
0.126 0.250 0.866
0.204 0.750 0.547
0.472 0.750 0.146
0.528 0.250 0.854
0.796 0.250 0.453
0.874 0.750 0.134
```

DOS at the Fermi energy ... 0.00 states/eV/f.u.
V ... 386.4 Å³ per cell
Magnetic moment ... 0.00 μB/f.u.
ΔE_f (raw) ... -1404 meV per atom

=====

# 7
# Cs2PmCd2Te4

A relaxed Cs2PmCd2Te4 crystal (GGA-PBE, Alexandria).

The structure in POSCAR format:
```
Cs2PmCd2Te4
1.0
8.988 -2.304 0.000
8.988 2.304 0.000
-3.484 0.000 8.594
Cs Pm Cd Te
2 1 2 4
Direct
0.129 0.129 0.066
0.871 0.871 0.934
0.000 0.000 0.500
0.314 0.314 0.502
0.686 0.686 0.498
0.188 0.188 0.700
0.477 0.477 0.721
0.523 0.523 0.279
0.812 0.812 0.300
```

DOS at the Fermi energy ... 4.42 states/eV/f.u.
V ... 356.0 Å³ per cell
Magnetic moment ... 0.00 μB/f.u.
ΔE_f (raw) ... -905 meV per atom

=====

# 8
# CsPm2CdTe4

A relaxed CsPm2CdTe4 crystal (GGA-PBE, Alexandria).

The structure in POSCAR format:
```
CsPm2CdTe4
1.0
2.297 -8.028 0.000
2.297 8.028 0.000
0.000 0.000 16.222
Cs Pm Cd Te
2 4 2 8
Direct
0.121 0.879 0.750
0.879 0.121 0.250
0.378 0.622 0.554
0.378 0.622 0.946
0.622 0.378 0.054
0.622 0.378 0.446
0.166 0.834 0.250
0.834 0.166 0.750
0.000 0.000 0.000
0.000 0.000 0.500
0.258 0.742 0.102
0.258 0.742 0.398
0.437 0.563 0.750
0.563 0.437 0.250
0.742 0.258 0.602
0.742 0.258 0.898
```

DOS at the Fermi energy ... 3.78 states/eV/f.u.
V ... 598.3 Å³ per cell
Magnetic moment ... 0.00 μB/f.u.
ΔE_f (raw) ... -1103 meV per atom

=====

# 9
# CsPrCd

A relaxed CsPrCd crystal (GGA-PBE, Alexandria).

The structure in POSCAR format:
```
CsPrCd
1.0
18.684 0.000 0.000
0.000 2.029 3.508
0.000 -2.029 3.508
Cs Pr Cd
2 2 2
Direct
0.167 0.000 0.000
0.833 0.000 0.000
0.378 0.682 0.682
0.622 0.682 0.682
0.000 0.663 0.663
0.500 0.016 0.016
```

DOS at the Fermi energy ... 3.74 states/eV/f.u.
V ... 266.0 Å³ per cell
Magnetic moment ... 0.00 μB/f.u.
Energy relative to the elements ... 235 meV per atom

=====

# 10
# Cs3Pr2CdSe6

A relaxed Cs3Pr2CdSe6 crystal (GGA-PBE, Alexandria).

The structure in POSCAR format:
```
Cs3Pr2CdSe6
1.0
3.795 -6.570 0.000
3.795 6.570 0.000
-2.533 0.000 8.418
Cs Pr Cd Se
3 2 1 6
Direct
0.000 0.000 0.000
0.333 0.667 0.000
0.667 0.333 0.000
0.167 0.833 0.500
0.833 0.167 0.500
0.500 0.500 0.500
0.109 0.437 0.310
0.235 0.235 0.691
0.437 0.109 0.310
0.563 0.891 0.690
0.765 0.765 0.309
0.891 0.563 0.690
```

DOS at the Fermi energy ... 16.17 states/eV/f.u.
V ... 419.8 Å³ per cell
Magnetic moment ... 0.00 μB/f.u.
ΔE_f (raw) ... -1298 meV per atom

=====

# 11
# CsPrCdSe3

A relaxed CsPrCdSe3 crystal (GGA-PBE, Alexandria).

The structure in POSCAR format:
```
CsPrCdSe3
1.0
9.748 0.000 0.000
0.000 4.431 0.000
-3.518 0.000 10.068
Cs Pr Cd Se
2 2 2 6
Direct
0.215 0.250 0.240
0.785 0.750 0.760
0.329 0.750 0.864
0.671 0.250 0.136
0.085 0.250 0.612
0.915 0.750 0.388
0.117 0.250 0.867
0.207 0.750 0.544
0.471 0.750 0.152
0.529 0.250 0.848
0.793 0.250 0.456
0.883 0.750 0.133
```

DOS at the Fermi energy ... 0.00 states/eV/f.u.
V ... 434.9 Å³ per cell
Magnetic moment ... 0.00 μB/f.u.
ΔE_f (raw) ... -1353 meV per atom

=====

# 12
# CsPrCdSe3

A relaxed CsPrCdSe3 crystal (GGA-PBE, Alexandria).

The structure in POSCAR format:
```
CsPrCdSe3
1.0
2.211 -8.173 0.000
2.211 8.173 0.000
0.000 0.000 11.538
Cs Pr Cd Se
2 2 2 6
Direct
0.245 0.755 0.750
0.755 0.245 0.250
0.500 0.500 0.000
0.500 0.500 0.500
0.037 0.963 0.250
0.963 0.037 0.750
0.120 0.880 0.054
0.120 0.880 0.446
0.438 0.562 0.250
0.562 0.438 0.750
0.880 0.120 0.554
0.880 0.120 0.946
```

DOS at the Fermi energy ... 0.00 states/eV/f.u.
V ... 417.0 Å³ per cell
Magnetic moment ... 0.00 μB/f.u.
ΔE_f (raw) ... -1372 meV per atom

=====

# 13
# Cs2PrCd2Te4

A relaxed Cs2PrCd2Te4 crystal (GGA-PBE, Alexandria).

The structure in POSCAR format:
```
Cs2PrCd2Te4
1.0
9.030 -2.322 0.000
9.030 2.322 0.000
-3.475 0.000 8.598
Cs Pr Cd Te
2 1 2 4
Direct
0.129 0.129 0.065
0.871 0.871 0.935
0.000 0.000 0.500
0.314 0.314 0.504
0.686 0.686 0.496
0.190 0.190 0.698
0.477 0.477 0.724
0.523 0.523 0.276
0.810 0.810 0.302
```

DOS at the Fermi energy ... 4.29 states/eV/f.u.
V ... 360.6 Å³ per cell
Magnetic moment ... 0.00 μB/f.u.
ΔE_f (raw) ... -908 meV per atom

=====

# 14
# CsCd3Pt

A relaxed CsCd3Pt crystal (GGA-PBE, Alexandria).

The structure in POSCAR format:
```
CsCd3Pt
1.0
3.460 -5.990 0.000
3.460 5.990 0.000
0.000 0.000 7.395
Cs Cd Pt
2 6 2
Direct
0.000 0.000 0.000
0.000 0.000 0.500
0.001 0.500 0.249
0.001 0.500 0.749
0.500 0.001 0.249
0.500 0.001 0.749
0.500 0.500 0.249
0.500 0.500 0.749
0.334 0.667 0.999
0.667 0.334 0.499
```

DOS at the Fermi energy ... 1.28 states/eV/f.u.
V ... 306.6 Å³ per cell
Magnetic moment ... 0.00 μB/f.u.
Energy relative to the elements ... -208 meV per atom
Offset from the most stable computed form ... 40 meV per atom

=====

# 15
# Cs3Cd3Pt

A relaxed Cs3Cd3Pt crystal (GGA-PBE, Alexandria).

The structure in POSCAR format:
```
Cs3Cd3Pt
1.0
11.467 -3.936 0.000
11.467 3.936 0.000
0.000 0.000 15.682
Cs Cd Pt
12 12 4
Direct
0.034 0.637 0.140
0.137 0.534 0.640
0.194 0.806 0.859
0.306 0.694 0.359
0.363 0.966 0.140
0.466 0.863 0.640
0.534 0.137 0.360
0.637 0.034 0.860
0.694 0.306 0.641
0.806 0.194 0.141
0.863 0.466 0.360
0.966 0.363 0.860
0.021 0.656 0.401
0.156 0.521 0.901
0.163 0.837 0.589
0.337 0.663 0.089
0.344 0.979 0.401
0.479 0.844 0.901
0.521 0.156 0.099
0.656 0.021 0.599
0.663 0.337 0.911
0.837 0.163 0.411
0.844 0.479 0.099
0.979 0.344 0.599
0.089 0.089 0.500
0.411 0.411 0.000
0.589 0.589 0.000
0.911 0.911 0.500
```

DOS at the Fermi energy ... 3.99 states/eV/f.u.
V ... 1415.7 Å³ per cell
Magnetic moment ... 0.00 μB/f.u.
Energy relative to the elements ... -93 meV per atom

=====

# 16
# Cs3CdPt

A relaxed Cs3CdPt crystal (GGA-PBE, Alexandria).

The structure in POSCAR format:
```
Cs3CdPt
1.0
6.851 0.000 0.000
0.000 6.851 0.000
0.000 0.000 6.851
Cs Cd Pt
3 1 1
Direct
0.000 0.000 0.500
0.000 0.500 0.000
0.500 0.000 0.000
0.000 0.000 0.000
0.500 0.500 0.500
```

DOS at the Fermi energy ... 4.35 states/eV/f.u.
V ... 321.6 Å³ per cell
Magnetic moment ... 0.01 μB/f.u.
Energy relative to the elements ... 532 meV per atom
Offset from the most stable computed form ... 640 meV per atom

=====

# 17
# Cs2Cd2Pt

A relaxed Cs2Cd2Pt crystal (GGA-PBE, Alexandria).

The structure in POSCAR format:
```
Cs2Cd2Pt
1.0
7.527 0.000 0.000
0.000 7.527 0.000
0.000 0.000 6.126
Cs Cd Pt
4 4 2
Direct
0.181 0.319 0.000
0.319 0.819 0.000
0.681 0.181 0.000
0.819 0.681 0.000
0.155 0.655 0.500
0.345 0.155 0.500
0.655 0.845 0.500
0.845 0.345 0.500
0.000 0.000 0.500
0.500 0.500 0.500
```

DOS at the Fermi energy ... 1.99 states/eV/f.u.
V ... 347.0 Å³ per cell
Magnetic moment ... 0.00 μB/f.u.
Energy relative to the elements ... -2 meV per atom
Offset from the most stable computed form ... 167 meV per atom

=====

# 18
# CsCd3Pt

A relaxed CsCd3Pt crystal (GGA-PBE, Alexandria).

The structure in POSCAR format:
```
CsCd3Pt
1.0
9.177 0.000 0.000
0.000 6.945 0.000
-4.206 0.000 9.581
Cs Cd Pt
4 12 4
Direct
0.121 0.054 0.211
0.121 0.446 0.711
0.879 0.554 0.289
0.879 0.946 0.789
0.180 0.564 0.081
0.180 0.936 0.581
0.332 0.006 0.902
0.332 0.494 0.402
0.496 0.172 0.705
0.496 0.328 0.205
0.504 0.672 0.795
0.504 0.828 0.295
0.668 0.506 0.598
0.668 0.994 0.098
0.820 0.064 0.419
0.820 0.436 0.919
0.455 0.665 0.044
0.455 0.835 0.544
0.545 0.165 0.456
0.545 0.335 0.956
```

DOS at the Fermi energy ... 1.98 states/eV/f.u.
V ... 610.7 Å³ per cell
Magnetic moment ... 0.00 μB/f.u.
Energy relative to the elements ... -148 meV per atom
Offset from the most stable computed form ... 100 meV per atom

=====

# 19
# CsCd12Pt6

A relaxed CsCd12Pt6 crystal (GGA-PBE, Alexandria).

The structure in POSCAR format:
```
CsCd12Pt6
1.0
6.297 3.636 3.199
-6.297 3.636 3.199
0.000 -7.271 3.199
Cs Cd Pt
1 12 6
Direct
0.000 0.000 0.000
0.120 0.500 0.880
0.120 0.880 0.500
0.151 0.420 0.420
0.420 0.151 0.420
0.420 0.420 0.151
0.500 0.120 0.880
0.500 0.880 0.120
0.580 0.580 0.849
0.580 0.849 0.580
0.849 0.580 0.580
0.880 0.120 0.500
0.880 0.500 0.120
0.262 0.262 0.684
0.262 0.684 0.262
0.316 0.738 0.738
0.684 0.262 0.262
0.738 0.316 0.738
0.738 0.738 0.316
```

DOS at the Fermi energy ... 10.37 states/eV/f.u.
V ... 439.3 Å³ per cell
Magnetic moment ... 0.00 μB/f.u.
Energy relative to the elements ... -198 meV per atom

=====

# 20
# Cs3Cd2Pt

A relaxed Cs3Cd2Pt crystal (GGA-PBE, Alexandria).

The structure in POSCAR format:
```
Cs3Cd2Pt
1.0
5.973 -5.221 0.000
5.973 5.221 0.000
-5.171 0.000 9.946
Cs Cd Pt
6 4 2
Direct
0.102 0.898 0.750
0.288 0.651 0.037
0.349 0.712 0.463
0.651 0.288 0.537
0.712 0.349 0.963
0.898 0.102 0.250
0.197 0.299 0.640
0.299 0.197 0.140
0.701 0.803 0.860
0.803 0.701 0.360
0.428 0.572 0.750
0.572 0.428 0.250
```

DOS at the Fermi energy ... 2.45 states/eV/f.u.
V ... 620.4 Å³ per cell
Magnetic moment ... 0.00 μB/f.u.
Energy relative to the elements ... -74 meV per atom